# 1
## Ag2TeAs (GGA-PBE)

Data for an optimized crystal structure of Ag2TeAs.

Computed properties:
Calculated total energy ... -13.0 eV/f.u.
Relative energy among the computed polymorphs ... 0.025 eV/atom
E_form (uncorrected) ... 0.11 eV/atom

a = 4.780 Å, b = 4.780 Å, c = 7.075 Å
α = 98.42°, β = 98.42°, γ = 37.44°
Sites, in units of the cell vectors:
Ag: 0.034 0.034 0.971
Ag: 0.713 0.713 0.730
Te: 0.332 0.332 0.191
As: 0.421 0.421 0.608

# 2
## KIn2Ni (GGA-PBE)

Data for an optimized crystal structure of KIn2Ni.

Computed properties:
Calculated total energy ... -12.4 eV/f.u.
Energy relative to the elements ... -0.010 eV/atom

a = 4.525 Å, b = 4.525 Å, c = 6.984 Å
α = 71.05°, β = 71.05°, γ = 60.02°
Sites, in units of the cell vectors:
Ni: 0.250 0.250 0.250
K: 0.750 0.750 0.750
In: 0.548 0.548 0.354
In: 0.952 0.952 0.146